# PBE InBr3O, relaxed
data_InBr3O
_chemical_formula_sum 'In1 Br3 O1'
_cell_length_a 5.442
_cell_length_b 5.442
_cell_length_c 5.442
_cell_angle_alpha 90.00
_cell_angle_beta 90.00
_cell_angle_gamma 90.00
_space_group_name_H-M_alt 'P m -3 m'
_space_group_IT_number 221
_space_group_name_Hall '-P 4 2 3'
loop_
_atom_site_label
_atom_site_fract_x
_atom_site_fract_y
_atom_site_fract_z
In1 0.000 0.000 0.000
Br1 0.000 0.000 0.500
O1 0.500 0.500 0.500
# * E_form (uncorrected): 0.187 eV per atom
# * Fermi-level density of states: 1.98 states/eV/atom
# * distance to the lowest polymorph of the same formula: 39 meV per atom